CaTb4Pm2 | PBE | optimized geometry

Total DFT energy (no corrections) ... -4.247 eV/atom
ΔH_f (0 K) ... 0.30 eV/f.u.

Cell and atoms, written as CIF:
```
data_CaTb4Pm2
_space_group_name_H-M_alt 'R -3 m'
_space_group_IT_number 166
_space_group_name_Hall '-R 3 2"'
_cell_length_a 3.6136
_cell_length_b 3.6136
_cell_length_c 62.7185
_cell_angle_alpha 90.00
_cell_angle_beta 90.00
_cell_angle_gamma 120.00
loop_
_atom_site_label
_atom_site_fract_x
_atom_site_fract_y
_atom_site_fract_z
Ca1 0.0000 0.0000 0.0000
Tb1 0.0000 0.0000 0.1438
Tb2 0.0000 0.0000 0.2826
Pm1 0.0000 0.0000 0.4299
```